The following is a PBE calculation of a relaxed TlZn2Mo crystal, from Alexandria via LeMat-Bulk.

E_form (eV/atom): 0.387
Energy relative to the lowest polymorph listed for this composition (eV per formula unit): 0.25

Cell: 9.4383 9.4383 9.4383 Å, 18.50 18.50 18.50°
Last column: nearest neighbours and their distance in Å.
Atoms (fractional coordinates):
Zn1 0.9922 0.9922 0.9922  3 Mo 2.73, 6 Zn 3.03
Zn2 0.5078 0.5078 0.5078  3 Mo 2.73, 6 Zn 3.03
Mo1 0.2500 0.2500 0.2500  6 Zn 2.73, 6 Mo 3.03
Tl1 0.7500 0.7500 0.7500  6 Tl 3.03, 6 Zn 3.08


The following is a PBE calculation of a relaxed Zn3In crystal, from Alexandria via LeMat-Bulk.

E_form (eV/atom): 0.112

Cell: 3.0967 4.0474 5.7740 Å, 90.00 90.00 90.00°
Last column: nearest neighbours and their distance in Å.
Atoms (fractional coordinates):
Zn1 0.5000 0.5000 0.7259  5 Zn 2.61-2.86
Zn2 0.5000 0.5000 0.2741  5 Zn 2.61-2.86
Zn3 0.0000 0.0000 0.5000  10 Zn 2.86-3.10, 2 In 2.89
In1 0.0000 0.0000 0.0000  10 Zn 2.89-3.00, 2 In 3.10


The following is a PBE calculation of a relaxed PmCuSnH crystal, from Alexandria via LeMat-Bulk.

Calculated total energy (eV/atom): -4.264

Cell: 4.6524 4.6524 4.6524 Å, 60.00 60.00 60.00°
Last column: nearest neighbours and their distance in Å.
Atoms (fractional coordinates):
Cu1 0.0000 0.0000 0.0000  4 Pm 2.85, 4 Sn 2.85
H1 0.5000 0.5000 0.5000  4 Sn 2.85, 4 Pm 2.85
Sn1 0.2500 0.2500 0.2500  4 Cu 2.85, 4 H 2.85
Pm1 0.7500 0.7500 0.7500  4 H 2.85, 4 Cu 2.85


The following is a PBE calculation of a relaxed Ta5NbOs4 crystal, from Alexandria via LeMat-Bulk.

E_form (eV/atom): -0.233
Energy relative to the lowest polymorph listed for this composition (eV per formula unit): 0.43

Cell: 3.2241 3.2241 15.9408 Å, 90.00 90.00 90.00°
Last column: nearest neighbours and their distance in Å.
Atoms (fractional coordinates):
Ta1 0.5000 0.5000 0.6964  8 Os 2.76-2.77
Ta2 0.5000 0.5000 0.3036  8 Os 2.76-2.77
Ta3 0.5000 0.5000 0.5000  8 Os 2.76
Ta4 0.5000 0.5000 0.8974  4 Nb 2.81, 4 Os 2.82
Ta5 0.5000 0.5000 0.1026  4 Nb 2.81, 4 Os 2.82
Nb1 0.0000 0.0000 0.0000  8 Ta 2.81
Os1 0.0000 0.0000 0.5979  8 Ta 2.76-2.77
Os2 0.0000 0.0000 0.7935  8 Ta 2.76-2.82
Os3 0.0000 0.0000 0.4021  8 Ta 2.76-2.77
Os4 0.0000 0.0000 0.2065  8 Ta 2.76-2.82


The following is a PBE calculation of a relaxed SrAs2Pt crystal, from Alexandria via LeMat-Bulk.

E_form (eV/atom): -0.505

Cell: 5.7734 5.7734 5.7734 Å, 134.88 132.27 67.78°
Last column: nearest neighbours and their distance in Å.
Atoms (fractional coordinates):
Pt1 0.5455 0.5455 0.0000  2 As 2.43
Sr1 0.2826 0.7826 0.5000  4 Pt 3.26-3.36, 9 As 3.28-3.52
As1 0.6497 0.1497 0.5000  2 Pt 2.43, 2 As 2.64
As2 0.0222 0.0222 0.0000  2 As 2.64


The following is a PBE calculation of a relaxed TlRu2Pt crystal, from Alexandria via LeMat-Bulk.

E_form (eV/atom): 0.550
Energy relative to the lowest polymorph listed for this composition (eV per formula unit): 1.16

Cell: 2.9221 4.7762 4.7734 Å, 90.00 90.00 90.00°
Last column: nearest neighbours and their distance in Å.
Atoms (fractional coordinates):
Ru1 0.5000 0.5000 0.0000  4 Pt 2.80, 6 Ru 2.80-2.92
Ru2 0.0000 0.0000 0.0000  4 Tl 2.80, 6 Ru 2.80-2.92
Tl1 0.5000 0.0000 0.5000  4 Ru 2.80, 4 Pt 2.80, 2 Tl 2.92
Pt1 0.0000 0.5000 0.5000  4 Ru 2.80, 4 Tl 2.80, 2 Pt 2.92


The following is a PBE calculation of a relaxed Tl2AgHg crystal, from Alexandria via LeMat-Bulk.

E_form (eV/atom): 0.137
Energy relative to the lowest polymorph listed for this composition (eV per formula unit): 0.27

Cell: 8.4485 8.4485 6.7418 Å, 51.20 51.20 90.00°
Last column: nearest neighbours and their distance in Å.
Atoms (fractional coordinates):
Hg1 0.7500 0.2500 0.5000  2 Ag 3.12, 4 Tl 3.22
Hg2 0.0000 0.0000 0.0000  2 Ag 3.12, 4 Tl 3.22
Tl1 0.3750 0.3979 0.7500  2 Ag 2.96, 2 Tl 3.15, 2 Hg 3.22
Tl2 0.1479 0.6250 0.2500  2 Ag 2.96, 2 Tl 3.15, 2 Hg 3.22
Tl3 0.8750 0.8521 0.7500  2 Ag 2.96, 2 Tl 3.15, 2 Hg 3.22
Tl4 0.6021 0.1250 0.2500  2 Ag 2.96, 2 Tl 3.15, 2 Hg 3.22
Ag1 0.2500 0.7500 0.5000  4 Tl 2.96, 2 Hg 3.12
Ag2 0.5000 0.5000 0.0000  4 Tl 2.96, 2 Hg 3.12


The following is a PBE calculation of a relaxed CaNi4Pt crystal, from Alexandria via LeMat-Bulk.

E_form (eV/atom): -0.128

Cell: 4.8946 4.8946 4.8946 Å, 60.00 60.00 60.00°
Last column: nearest neighbours and their distance in Å.
Atoms (fractional coordinates):
Ca1 0.0000 0.0000 0.0000  12 Ni 2.87, 4 Pt 3.00
Pt1 0.7500 0.7500 0.7500  12 Ni 2.87, 4 Ca 3.00
Ni1 0.3759 0.3759 0.3759  6 Ni 2.43-2.47
Ni2 0.3759 0.8722 0.3759  6 Ni 2.43-2.47
Ni3 0.8722 0.3759 0.3759  6 Ni 2.43-2.47
Ni4 0.3759 0.3759 0.8722  6 Ni 2.43-2.47


The following is a PBE calculation of a relaxed RuPbF3 crystal, from Alexandria via LeMat-Bulk.

Formation energy from raw total energies (eV/atom): -0.769
Energy relative to the lowest polymorph listed for this composition (eV per formula unit): 1.26

Cell: 4.7576 4.7576 4.7576 Å, 90.00 90.00 90.00°
Last column: nearest neighbours and their distance in Å.
Atoms (fractional coordinates):
F1 0.5000 0.0000 0.0000  2 Pb 2.38
F2 0.0000 0.5000 0.0000  2 Pb 2.38
F3 0.0000 0.0000 0.5000  2 Pb 2.38
Ru1 0.5000 0.5000 0.5000  12 F 3.36
Pb1 0.0000 0.0000 0.0000  6 F 2.38


The following is a PBE calculation of a relaxed AcTlTe2 crystal, from Alexandria via LeMat-Bulk.

Formation energy from raw total energies (eV/atom): -1.045
Energy relative to the lowest polymorph listed for this composition (eV per formula unit): 0.41

Cell: 5.7554 5.7554 5.7554 Å, 60.00 60.00 60.00°
Last column: nearest neighbours and their distance in Å.
Atoms (fractional coordinates):
Tl1 0.0000 0.0000 0.0000  8 Te 3.52
Ac1 0.5000 0.5000 0.5000  8 Te 3.52
Te1 0.7500 0.7500 0.7500  4 Ac 3.52, 4 Tl 3.52
Te2 0.2500 0.2500 0.2500  4 Tl 3.52, 4 Ac 3.52


The following is a PBE calculation of a relaxed RbBeHg3 crystal, from Alexandria via LeMat-Bulk.

E_form (eV/atom): 0.801
Energy relative to the lowest polymorph listed for this composition (eV per formula unit): 3.98

Cell: 7.1023 7.1023 7.1023 Å, 90.00 90.00 90.00°
Last column: nearest neighbours and their distance in Å.
Atoms (fractional coordinates):
Hg1 0.5000 0.0000 0.0000  2 Rb 3.55
Hg2 0.0000 0.0000 0.5000  2 Rb 3.55
Hg3 0.0000 0.5000 0.0000  2 Rb 3.55
Rb1 0.0000 0.0000 0.0000  6 Hg 3.55
Be1 0.5000 0.5000 0.5000  12 Hg 5.02


The following is a PBE calculation of a relaxed SrSm4Pb5 crystal, from Alexandria via LeMat-Bulk.

E_form (eV/atom): -0.497

Cell: 3.6070 3.6070 23.1992 Å, 90.00 90.00 90.00°
Last column: nearest neighbours and their distance in Å.
Atoms (fractional coordinates):
Pb1 0.5000 0.5000 0.1070  4 Sm 3.43, 4 Sr 3.56, 4 Pb 3.61
Pb2 0.5000 0.5000 0.5000  8 Sm 3.42, 4 Pb 3.61
Pb3 0.5000 0.5000 0.8930  4 Sm 3.43, 4 Sr 3.56, 4 Pb 3.61
Pb4 0.5000 0.5000 0.3036  8 Sm 3.42, 4 Pb 3.61
Pb5 0.5000 0.5000 0.6964  8 Sm 3.42, 4 Pb 3.61
Sr1 0.0000 0.0000 0.0000  8 Pb 3.56, 4 Sr 3.61
Sm1 0.0000 0.0000 0.2056  8 Pb 3.42-3.43, 4 Sm 3.61
Sm2 0.0000 0.0000 0.5981  8 Pb 3.42, 4 Sm 3.61
Sm3 0.0000 0.0000 0.7944  8 Pb 3.42-3.43, 4 Sm 3.61
Sm4 0.0000 0.0000 0.4019  8 Pb 3.42, 4 Sm 3.61


Looking at M_tot for the records above, in order, we have 0.000; 0.000; 0.000; 0.000; 0.000; 0.368; 0.000; 0.296; 0.601; 0.000; 0.000; 0.000 μB per atom.